1.
Entry from Alexandria: LaP after structural relaxation (PBE-GGA).

Output
Energy of formation (meV per atom): -1051
E_tot (eV for the cell shown): -74.64

a = 8.1338 Å, b = 8.1338 Å, c = 8.1338 Å
α = 90.00°, β = 90.00°, γ = 90.00°
Space group Pm-3n (No. 223)
Symmetry-distinct sites (fractional):
La 0.0000 0.2500 0.5000 (multiplicity 6)
P 0.0000 0.5000 0.2500 (multiplicity 6)

2.
Entry from Alexandria: LaP3 after structural relaxation (PBE-GGA).

Output
DOS at the Fermi energy (states/eV per atom): 0.62
Energy of formation (meV per atom): -626
E_tot (eV for the cell shown): -94.65

a = 9.0114 Å, b = 7.1871 Å, c = 5.6124 Å
α = 90.00°, β = 90.00°, γ = 90.00°
Space group Cmcm (No. 63)
Symmetry-distinct sites (fractional):
La 0.0000 0.1913 0.2500 (multiplicity 4)
P 0.0000 0.3714 0.7500 (multiplicity 4)
P 0.1782 0.1732 0.7500 (multiplicity 8)

3.
Entry from Alexandria: La5P after structural relaxation (PBE-GGA).

Output
DOS at the Fermi energy (states/eV per atom): 1.33
Energy of formation (meV per atom): -415
E_tot (eV for the cell shown): -65.07
Distance to the lowest polymorph of the same formula (meV/atom): 0

a = 11.9781 Å, b = 3.8801 Å, c = 8.7522 Å
α = 90.00°, β = 100.35°, γ = 90.00°
Space group Cm (No. 8)
Symmetry-distinct sites (fractional):
La 0.0000 0.0000 0.0000 (multiplicity 2)
La 0.0776 0.0000 0.4217 (multiplicity 2)
La 0.1955 0.5000 0.7770 (multiplicity 2)
La 0.3027 0.0000 0.1889 (multiplicity 2)
La 0.4037 0.0000 0.6609 (multiplicity 2)
P 0.2763 0.5000 0.4456 (multiplicity 2)

4.
Entry from Alexandria: La5P3 after structural relaxation (PBE-GGA).

Output
DOS at the Fermi energy (states/eV per atom): 1.09
Energy of formation (meV per atom): -1098
E_tot (eV for the cell shown): -99.31
Distance to the lowest polymorph of the same formula (meV/atom): 0

a = 8.8529 Å, b = 8.8529 Å, c = 6.3642 Å
α = 90.00°, β = 90.00°, γ = 120.00°
Space group P6_3/mcm (No. 193)
Symmetry-distinct sites (fractional):
La 0.0000 0.2609 0.2500 (multiplicity 6)
La 0.3333 0.6667 0.0000 (multiplicity 4)
P 0.0000 0.3789 0.7500 (multiplicity 6)

5.
Entry from Alexandria: La4P3 after structural relaxation (PBE-GGA).

Output
DOS at the Fermi energy (states/eV per atom): 1.16
Energy of formation (meV per atom): -1349
E_tot (eV for the cell shown): -181.54
Distance to the lowest polymorph of the same formula (meV/atom): 0

a = 8.9972 Å, b = 8.9972 Å, c = 8.9972 Å
α = 90.00°, β = 90.00°, γ = 90.00°
Space group I-43d (No. 220)
Symmetry-distinct sites (fractional):
La 0.0665 0.0665 0.0665 (multiplicity 16)
P 0.0000 0.2500 0.3750 (multiplicity 12)

6.
Entry from Alexandria: LaP2 after structural relaxation (PBE-GGA).

Output
DOS at the Fermi energy (states/eV per atom): 0.35
Energy of formation (meV per atom): -944
E_tot (eV for the cell shown): -74.32

a = 4.0772 Å, b = 4.0772 Å, c = 15.5060 Å
α = 90.00°, β = 90.00°, γ = 90.00°
Space group I4_1/amd (No. 141, origin choice 2)
Symmetry-distinct sites (fractional):
La 0.0000 0.2500 0.3750 (multiplicity 4)
P 0.0000 0.2500 0.7820 (multiplicity 8)

7.
Entry from Alexandria: LaP4 after structural relaxation (PBE-GGA).

Output
DOS at the Fermi energy (states/eV per atom): 0.74
Energy of formation (meV per atom): 634
E_tot (eV for the cell shown): -46.80
Distance to the lowest polymorph of the same formula (meV/atom): 986

a = 6.4549 Å, b = 6.4549 Å, c = 6.4549 Å
α = 90.00°, β = 90.00°, γ = 90.00°
Space group Im-3m (No. 229)
Symmetry-distinct sites (fractional):
La 0.0000 0.0000 0.0000 (multiplicity 2)
P 0.2500 0.2500 0.2500 (multiplicity 8)

8.
Entry from Alexandria: La3P5 after structural relaxation (PBE-GGA).

Output
DOS at the Fermi energy (states/eV per atom): 0.53
Energy of formation (meV per atom): -780
E_tot (eV for the cell shown): -96.14
Distance to the lowest polymorph of the same formula (meV/atom): 205

a = 7.5854 Å, b = 10.6690 Å, c = 4.5301 Å
α = 90.00°, β = 90.00°, γ = 90.00°
Space group Cmmm (No. 65)
Symmetry-distinct sites (fractional):
La 0.0000 0.0000 0.0000 (multiplicity 2)
La 0.0000 0.3018 0.5000 (multiplicity 4)
P 0.0000 0.5000 0.0000 (multiplicity 2)
P 0.2400 0.0000 0.5000 (multiplicity 4)
P 0.2500 0.2500 0.0000 (multiplicity 4)

9.
Entry from Alexandria: LaP3 after structural relaxation (PBE-GGA).

Output
DOS at the Fermi energy (states/eV per atom): 0.35
Energy of formation (meV per atom): -598
E_tot (eV for the cell shown): -23.55

a = 4.3558 Å, b = 3.8937 Å, c = 5.2541 Å
α = 90.00°, β = 103.18°, γ = 90.00°
Space group P2/m (No. 10)
Symmetry-distinct sites (fractional):
La 0.0000 0.0000 0.0000 (multiplicity 1)
P 0.4016 0.5000 0.7856 (multiplicity 2)
P 0.5000 0.0000 0.5000 (multiplicity 1)

10.
Entry from Alexandria: La3P after structural relaxation (PBE-GGA).

Output
DOS at the Fermi energy (states/eV per atom): 1.01
Energy of formation (meV per atom): -754
E_tot (eV for the cell shown): -92.84
Distance to the lowest polymorph of the same formula (meV/atom): 0

a = 7.7669 Å, b = 9.5967 Å, c = 6.3855 Å
α = 90.00°, β = 90.00°, γ = 90.00°
Space group Pnma (No. 62)
Symmetry-distinct sites (fractional):
La 0.0409 0.2500 0.1391 (multiplicity 4)
La 0.1949 0.0467 0.6261 (multiplicity 8)
P 0.1080 0.7500 0.4154 (multiplicity 4)

11.
Entry from Alexandria: La4P3 after structural relaxation (PBE-GGA).

Output
DOS at the Fermi energy (states/eV per atom): 0.71
Energy of formation (meV per atom): -494
E_tot (eV for the cell shown): -39.40
Distance to the lowest polymorph of the same formula (meV/atom): 855

a = 5.9621 Å, b = 5.9621 Å, c = 5.7206 Å
α = 90.00°, β = 90.00°, γ = 120.00°
Space group P6/mmm (No. 191)
Symmetry-distinct sites (fractional):
La 0.0000 0.0000 0.2363 (multiplicity 2)
La 0.3333 0.6667 0.5000 (multiplicity 2)
P 0.0000 0.5000 0.0000 (multiplicity 3)

12.
Entry from Alexandria: LaP3 after structural relaxation (PBE-GGA).

Output
DOS at the Fermi energy (states/eV per atom): 0.58
Energy of formation (meV per atom): -431
E_tot (eV for the cell shown): -91.53

a = 5.9746 Å, b = 5.9746 Å, c = 9.9862 Å
α = 90.00°, β = 90.00°, γ = 120.00°
Space group P6_3/mmc (No. 194)
Symmetry-distinct sites (fractional):
La 0.0000 0.0000 0.0000 (multiplicity 2)
La 0.3333 0.6667 0.2500 (multiplicity 2)
P 0.0000 0.5000 0.0000 (multiplicity 6)
P 0.2019 0.4038 0.7500 (multiplicity 6)